Material: Re2SiTe
Method: DFT, PBE
State: optimized geometry

Summary:
**SG**: P2/m, No. 10
**Excess energy over the best structure of this formula in the dataset**: 264 meV/atom

a = 3.808 Å, b = 3.127 Å, c = 5.889 Å
α = 73.20°, β = 90.00°, γ = 90.00°
Atoms (fractional coordinates):
Te 0.500 0.750 0.750
Si 0.500 0.250 0.250
Re 0.000 0.411 0.459
Re 0.000 0.089 0.041


Material: Sc2TeOs
Method: DFT, PBE
State: optimized geometry

Summary:
**SG**: Immm, No. 71

a = 5.165 Å, b = 5.165 Å, c = 5.165 Å
α = 134.08°, β = 127.02°, γ = 72.68°
Atoms (fractional coordinates):
Sc 0.020 0.020 0.000
Sc 0.480 0.480 0.000
Os 0.250 0.750 0.500
Te 0.750 0.250 0.500


Material: Sc3MnTe
Method: DFT, PBE
State: optimized geometry

Summary:
**SG**: Pm-3m, No. 221
**Excess energy over the best structure of this formula in the dataset**: 0 meV/atom

a = 4.841 Å, b = 4.841 Å, c = 4.841 Å
α = 90.00°, β = 90.00°, γ = 90.00°
Atoms (fractional coordinates):
Sc 0.000 0.500 0.000
Sc 0.000 0.000 0.500
Mn 0.000 0.000 0.000
Te 0.500 0.500 0.500
Sc 0.500 0.000 0.000


no.,DFT total energy (eV per atom),E_form (uncorrected) (eV/atom)
1,-7.798,0.5671
2,-7.106,-0.3477
3,-6.321,-0.0600